Entry 1:
Entry from Alexandria: ScReSb after structural relaxation (PBE).

Cell lengths 7.019, 6.775, 3.105 Å; angles 81.43, 72.64, 25.94 degrees
Fractional coordinates of all 3 atoms:
Sc 0.656 0.656 0.344
Sb 0.343 0.343 0.657
Re 0.001 0.001 0.999

Its offset from the most stable computed form is 267 meV/atom.



Entry 2:
Entry from Alexandria: LiCuAu4 after structural relaxation (PBE).

Cell lengths 5.469, 5.469, 5.469 Å; angles 60.00, 60.00, 60.00 degrees
Fractional coordinates of all 6 atoms:
Au 0.625 0.125 0.625
Au 0.625 0.625 0.625
Au 0.625 0.625 0.125
Au 0.125 0.625 0.625
Cu 0.250 0.250 0.250
Li 0.000 0.000 0.000

The energy of formation from the pure elements is -0.0284 eV per atom. Its offset from the most stable computed form is 180 meV/atom.



Entry 3:
Entry from Alexandria: Th4Os2Br after structural relaxation (PBE).

Cell lengths 4.188, 4.188, 14.223 Å; angles 81.53, 81.53, 60.00 degrees
Fractional coordinates of all 7 atoms:
Th 0.274 0.274 0.177
Th 0.129 0.129 0.613
Th 0.726 0.726 0.823
Th 0.871 0.871 0.387
Os 0.427 0.427 0.718
Os 0.573 0.573 0.282
Br 0.000 0.000 0.000

Its raw total energy is -8.212 eV/atom.



Entry 4:
Entry from Alexandria: SmDy2Sn after structural relaxation (PBE).

Cell lengths 4.684, 4.638, 11.522 Å; angles 101.57, 90.00, 90.00 degrees
Fractional coordinates of all 8 atoms:
Dy 0.250 0.936 0.873
Dy 0.750 0.064 0.127
Dy 0.250 0.560 0.119
Dy 0.750 0.440 0.881
Sn 0.250 0.163 0.330
Sn 0.750 0.837 0.670
Sm 0.250 0.308 0.613
Sm 0.750 0.692 0.387

The energy of formation from the pure elements is -0.4064 eV per atom. Its offset from the most stable computed form is 18 meV/atom.



Entry 5:
Entry from Alexandria: Sr2AgAs2 after structural relaxation (PBE).

Cell lengths 4.481, 6.324, 10.731 Å; angles 77.64, 77.95, 69.25 degrees
Fractional coordinates of all 10 atoms:
As 0.051 0.317 0.580
As 0.949 0.683 0.420
As 0.334 0.197 0.135
As 0.666 0.803 0.865
Sr 0.912 0.268 0.908
Sr 0.088 0.732 0.092
Sr 0.694 0.262 0.350
Sr 0.306 0.738 0.650
Ag 0.420 0.844 0.317
Ag 0.580 0.156 0.683

The energy of formation from the pure elements is -0.8273 eV per atom. Its offset from the most stable computed form is 0 meV/atom.



Entry 6:
Entry from Alexandria: Na2LaPtO4 after structural relaxation (PBE).

Cell lengths 5.970, 5.530, 5.530 Å; angles 73.81, 57.33, 57.33 degrees
Fractional coordinates of all 8 atoms:
O 0.686 0.461 0.907
O 0.314 0.093 0.539
O 0.946 0.907 0.461
O 0.054 0.539 0.093
Na 0.500 0.731 0.269
Na 0.500 0.269 0.731
Pt 0.000 0.500 0.500
La 0.000 0.000 0.000

Its raw total energy is -5.592 eV/atom.



Entry 7:
Entry from Alexandria: Ho8Ni2Sn after structural relaxation (PBE).

Cell lengths 5.283, 7.884, 7.884 Å; angles 113.79, 97.62, 97.62 degrees
Fractional coordinates of all 11 atoms:
Ho 0.922 0.925 0.668
Ho 0.078 0.332 0.075
Ho 0.078 0.075 0.332
Ho 0.500 0.248 0.752
Ho 0.500 0.752 0.248
Ho 0.303 0.608 0.608
Ho 0.922 0.668 0.925
Ho 0.697 0.392 0.392
Ni 0.000 0.695 0.305
Ni 0.000 0.305 0.695
Sn 0.500 0.000 0.000

The energy of formation from the pure elements is -0.2350 eV per atom.



Entry 8:
Entry from Alexandria: Cs2AsClF6 after structural relaxation (PBE).

Cell lengths 5.496, 5.496, 18.682 Å; angles 81.54, 81.54, 60.00 degrees
Fractional coordinates of all 20 atoms:
F 0.170 0.170 0.944
F 0.367 0.367 0.444
F 0.367 0.823 0.444
F 0.284 0.830 0.056
F 0.830 0.284 0.056
F 0.830 0.830 0.056
F 0.633 0.633 0.556
F 0.170 0.716 0.944
F 0.716 0.170 0.944
F 0.177 0.633 0.556
F 0.823 0.367 0.444
F 0.633 0.177 0.556
Cs 0.283 0.283 0.150
Cs 0.884 0.884 0.349
Cs 0.116 0.116 0.651
Cs 0.717 0.717 0.850
As 0.500 0.500 0.500
As 0.000 0.000 0.000
Cl 0.416 0.416 0.751
Cl 0.584 0.584 0.249

Its raw total energy is -4.279 eV/atom.